This record from Alexandria describes a relaxed structure of K2BeFeF. The functional is PBE+U.

## Properties
As for the crystal system: tetragonal. The raw total energy is -2.56 eV per atom. Its total moment is 0.633 μB per atom. Its density of states at the Fermi level is 3.22 states/eV/f.u. Its symmetry is No. 123.

a = 6.8340 Å, b = 3.2838 Å, c = 6.8340 Å
α = 90.00°, β = 90.00°, γ = 90.00°
Last column: nearest neighbours and their distance in Å.
Fractional positions:
Be 0.0000 0.0000 0.0000  2 F 1.64
K 0.0000 0.0000 0.5000  2 K 3.28, 2 Be 3.42
K 0.5000 0.0000 0.0000  2 K 3.28, 2 Be 3.42
Fe 0.5000 0.5000 0.5000  2 Fe 3.28
F 0.0000 0.5000 0.0000  2 Be 1.64